1.
A geometry-optimized UNiBiPd structure, computed with PBE.

Cell lengths 6.820, 6.820, 6.820 Å; angles 90.00, 90.00, 90.00 degrees
Space group F-43m (No. 216)
Asymmetric unit:
U: 0.000 0.000 0.000 (multiplicity 4)
Ni: 0.250 0.250 0.250 (multiplicity 4)
Bi: 0.000 0.000 0.500 (multiplicity 4)
Pd: 0.250 0.250 0.750 (multiplicity 4)

Summary:
- Formation energy from the elements: -0.11 eV/atom
- DOS at the Fermi energy: 6.60 states/eV/f.u.
- E_tot: -6.649 eV per atom
- Crystal system: cubic

---

2.
A geometry-optimized Ac5Er3Ag12 structure, computed with PBE.

Cell lengths 17.570, 17.570, 17.570 Å; angles 90.00, 90.00, 90.00 degrees
Space group Ia-3d (No. 230)
Asymmetric unit:
Ac: 0.000 0.000 0.000 (multiplicity 16)
Ac: 0.000 0.250 0.375 (multiplicity 24)
Er: 0.000 0.250 0.125 (multiplicity 24)
Ag: 0.004 0.082 0.155 (multiplicity 96)

Summary:
- Formation energy from the elements: 0.14 eV/atom
- DOS at the Fermi energy: 20.68 states/eV/f.u.
- E_tot: -3.283 eV per atom
- Crystal system: cubic

---

3.
A geometry-optimized Y3Er2Cd3 structure, computed with PBE.

Cell lengths 3.726, 5.346, 22.196 Å; angles 90.00, 90.00, 90.00 degrees
Space group Immm (No. 71)
Asymmetric unit:
Y: 0.000 0.000 0.000 (multiplicity 2)
Y: 0.000 0.500 0.124 (multiplicity 4)
Er: 0.000 0.000 0.234 (multiplicity 4)
Cd: 0.000 0.000 0.500 (multiplicity 2)
Cd: 0.000 0.500 0.382 (multiplicity 4)

Summary:
- Formation energy from the elements: -0.26 eV/atom
- DOS at the Fermi energy: 9.44 states/eV/f.u.
- E_tot: -4.168 eV per atom
- Crystal system: orthorhombic

---

4.
A geometry-optimized TmCdTe2 structure, computed with PBE.

Cell lengths 4.3049, 4.3049, 23.3539 Å; angles 90.00, 90.00, 120.00 degrees
Space group R3m (No. 160, hexagonal axes)
Asymmetric unit:
Tm: 0.0000 0.0000 0.0000 (multiplicity 3)
Cd: 0.0000 0.0000 0.8341 (multiplicity 3)
Te: 0.0000 0.0000 0.4114 (multiplicity 3)
Te: 0.0000 0.0000 0.5917 (multiplicity 3)

Summary:
- DOS at the Fermi energy: 2.10 states/eV/f.u.
- E_tot: -3.704 eV per atom
- Formation energy from raw total energies: -3.146 eV per formula unit
- Crystal system: trigonal